i.
BaYPt GGA-PBE relaxed; spin magnetization = 0.0 μB per formula unit; space group = P4/nmm; ρ = 7.3 Mg/m³; volume = 192 Å³/cell
1.0
-1.3732 4.8202 0.1016
-2.5472 -0.8151 4.2401
6.2336 1.6901 4.0697
Ba Pt Y
2 2 2
Direct
0.0000 0.5000 0.8796 Ba
0.5000 0.0000 0.1204 Ba
0.0000 0.5000 0.3130 Pt
0.5000 0.0000 0.6870 Pt
0.5000 0.5000 0.5000 Y
0.0000 0.0000 0.5000 Y

ii.
BaYPt GGA-PBE relaxed; spin magnetization = 0.0 μB per formula unit; space group = F-43m; ρ = 7.8 Mg/m³; volume = 89 Å³/cell
1.0
-1.6239 -0.0614 -4.7504
-2.4416 -4.0156 -1.7666
-4.9169 0.2803 -0.9760
Ba Pt Y
1 1 1
Direct
0.7500 0.7500 0.7500 Ba
0.0000 0.0000 0.0000 Pt
0.5000 0.5000 0.5000 Y

Most stable of them? i.

i.
BaY2Pt2 GGA-PBE relaxed; spin magnetization = 0.4 μB per formula unit; space group = I4/mmm; ρ = 7.5 Mg/m³; volume = 157 Å³/cell
1.0
-0.7102 -5.1567 -0.7964
4.4472 -1.0186 2.6297
-1.0641 -3.4293 5.7439
Y Ba Pt
2 1 2
Direct
0.3355 0.3355 0.3290 Y
0.6645 0.6645 0.6710 Y
0.0000 0.0000 0.0000 Ba
0.7500 0.2500 0.5000 Pt
0.2500 0.7500 0.5000 Pt

ii.
BaY2Pt2 GGA-PBE relaxed; spin magnetization = 0.0 μB per formula unit; space group = P4/mbm; ρ = 8.9 Mg/m³; volume = 263 Å³/cell
1.0
8.3190 0.0000 0.0000
0.0000 8.3190 0.0000
0.0000 0.0000 3.8072
Y Ba Pt
4 2 4
Direct
0.1452 0.6452 0.5000 Y
0.6452 0.8548 0.5000 Y
0.8548 0.3548 0.5000 Y
0.3548 0.1452 0.5000 Y
0.0000 0.0000 0.0000 Ba
0.5000 0.5000 0.0000 Ba
0.3649 0.8649 0.0000 Pt
0.8649 0.6351 0.0000 Pt
0.6351 0.1351 0.0000 Pt
0.1351 0.3649 0.0000 Pt

Most stable of them? ii.

i.
BaZnPt3 GGA-PBE relaxed; spin magnetization = 0.0 μB per formula unit; space group = Pm-3m; ρ = 11.6 Mg/m³; volume = 112 Å³/cell
1.0
4.8259 0.0000 0.0000
0.0000 4.8259 0.0000
0.0000 0.0000 4.8259
Zn Ba Pt
1 1 3
Direct
0.0000 0.0000 0.0000 Zn
0.5000 0.5000 0.5000 Ba
0.0000 0.5000 0.0000 Pt
0.0000 0.0000 0.5000 Pt
0.5000 0.0000 0.0000 Pt

ii.
BaZnPt3 GGA-PBE relaxed; spin magnetization = 0.0 μB per formula unit; space group = Pm-3m; ρ = 8.2 Mg/m³; volume = 159 Å³/cell
1.0
5.4155 0.0000 0.0000
0.0000 5.4155 0.0000
0.0000 0.0000 5.4155
Zn Ba Pt
1 1 3
Direct
0.5000 0.5000 0.5000 Zn
0.0000 0.0000 0.0000 Ba
0.0000 0.5000 0.0000 Pt
0.0000 0.0000 0.5000 Pt
0.5000 0.0000 0.0000 Pt

Most stable of them? i.

i.
Ba2ZnPt3 GGA-PBE relaxed; spin magnetization = 0.0 μB per formula unit; space group = Immm; ρ = 9.5 Mg/m³; volume = 161 Å³/cell
1.0
4.4502 0.0000 0.0000
0.0000 5.9233 0.0000
-2.2251 -2.9617 6.1043
Ba Zn Pt
2 1 3
Direct
0.6791 0.1791 0.3581 Ba
0.3209 0.8209 0.6419 Ba
0.0000 0.5000 0.0000 Zn
0.3887 0.3887 0.7774 Pt
0.0000 0.0000 0.0000 Pt
0.6113 0.6113 0.2226 Pt

ii.
Ba2ZnPt3 GGA-PBE relaxed; spin magnetization = 0.0 μB per formula unit; space group = Pmm2; ρ = 9.6 Mg/m³; volume = 161 Å³/cell
1.0
4.6031 0.0000 0.0000
0.0000 4.4803 0.0000
0.0000 0.0000 7.7982
Ba Zn Pt
2 1 3
Direct
0.0000 0.5000 0.9878 Ba
0.0000 0.0000 0.5126 Ba
0.5000 0.5000 0.3342 Zn
0.5000 0.0000 0.8346 Pt
0.5000 0.0000 0.1711 Pt
0.5000 0.5000 0.6596 Pt

Most stable of them? ii.

i.
BaZn4Pt2 GGA-PBE relaxed; spin magnetization = 0.0 μB per formula unit; space group = P4_2/mnm; ρ = 9.7 Mg/m³; volume = 270 Å³/cell
1.0
4.1009 0.0000 0.0000
0.0000 8.1070 0.0000
0.0000 0.0000 8.1070
Ba Zn Pt
2 8 4
Direct
0.5000 0.0000 0.0000 Ba
0.0000 0.5000 0.5000 Ba
0.0000 0.0837 0.3476 Zn
0.0000 0.9163 0.6524 Zn
0.5000 0.1524 0.5837 Zn
0.5000 0.8476 0.4163 Zn
0.5000 0.4163 0.8476 Zn
0.5000 0.5837 0.1524 Zn
0.0000 0.3476 0.0837 Zn
0.0000 0.6524 0.9163 Zn
0.0000 0.2249 0.7751 Pt
0.0000 0.7751 0.2249 Pt
0.5000 0.7249 0.7249 Pt
0.5000 0.2751 0.2751 Pt

ii.
BaZn4Pt2 GGA-PBE relaxed; spin magnetization = 0.0 μB per formula unit; space group = Cmmm; ρ = 9.2 Mg/m³; volume = 142 Å³/cell
1.0
-0.8014 -0.0097 4.4722
-3.8729 -2.2533 -0.6989
5.3034 -4.8436 0.9398
Ba Zn Pt
1 4 2
Direct
0.0000 0.0000 0.0000 Ba
0.5000 0.8032 0.6064 Zn
0.0000 0.6911 0.3821 Zn
0.5000 0.1968 0.3936 Zn
0.0000 0.3089 0.6179 Zn
0.5000 0.6032 0.2065 Pt
0.5000 0.3968 0.7935 Pt

Most stable of them? i.

i.
Ba2ZrPt GGA-PBE relaxed; spin magnetization = 0.0 μB per formula unit; space group = Pmmm; ρ = 8.1 Mg/m³; volume = 114 Å³/cell
1.0
-3.7586 0.6017 2.1628
2.2655 -0.6594 4.1205
1.0339 5.3970 0.2953
Ba Pt Zr
2 1 1
Direct
0.0000 0.0000 0.0000 Ba
0.5000 0.5000 0.0000 Ba
0.5000 0.0000 0.5000 Pt
0.0000 0.5000 0.5000 Zr

ii.
Ba2ZrPt GGA-PBE relaxed; spin magnetization = 1.0 μB per formula unit; space group = P2/m; ρ = 5.4 Mg/m³; volume = 172 Å³/cell
1.0
-2.0334 3.7137 1.1374
-5.4516 -1.2767 -5.5776
-7.0700 -3.5218 -1.1401
Ba Pt Zr
2 1 1
Direct
0.0000 0.1054 0.1055 Ba
0.0000 0.3946 0.3945 Ba
0.5000 0.2500 0.2500 Pt
0.5000 0.7500 0.7500 Zr

iii.
Ba2ZrPt GGA-PBE relaxed; spin magnetization = 3.8 μB per formula unit; space group = Fm-3m; ρ = 7.2 Mg/m³; volume = 130 Å³/cell
1.0
0.0000 4.0208 4.0208
4.0208 0.0000 4.0208
4.0208 4.0208 0.0000
Zr Ba Pt
1 2 1
Direct
0.0000 0.0000 0.0000 Zr
0.2500 0.2500 0.2500 Ba
0.7500 0.7500 0.7500 Ba
0.5000 0.5000 0.5000 Pt

Most stable of them? ii.

i.
BaZr3Pt GGA-PBE relaxed; spin magnetization = 0.0 μB per formula unit; space group = Pm-3m; ρ = 6.8 Mg/m³; volume = 147 Å³/cell
1.0
5.2801 0.0000 0.0000
0.0000 5.2801 0.0000
0.0000 0.0000 5.2801
Zr Ba Pt
3 1 1
Direct
0.0000 0.5000 0.0000 Zr
0.0000 0.0000 0.5000 Zr
0.5000 0.0000 0.0000 Zr
0.5000 0.5000 0.5000 Ba
0.0000 0.0000 0.0000 Pt

ii.
BaZr3Pt GGA-PBE relaxed; spin magnetization = 0.5 μB per formula unit; space group = Pm-3m; ρ = 7.2 Mg/m³; volume = 139 Å³/cell
1.0
5.1849 0.0000 0.0000
0.0000 5.1849 0.0000
0.0000 0.0000 5.1849
Zr Ba Pt
3 1 1
Direct
0.0000 0.5000 0.0000 Zr
0.0000 0.0000 0.5000 Zr
0.5000 0.0000 0.0000 Zr
0.0000 0.0000 0.0000 Ba
0.5000 0.5000 0.5000 Pt

Most stable of them? i.

i.
BaZrPt2 GGA-PBE relaxed; spin magnetization = 0.0 μB per formula unit; space group = P4/mmm; ρ = 11.3 Mg/m³; volume = 91 Å³/cell
1.0
-0.7271 -2.7507 1.5143
-1.5804 -2.1228 -4.6147
4.9358 -1.7835 -0.8699
Ba Pt Zr
1 2 1
Direct
0.5000 0.0000 0.5000 Ba
0.0000 0.0000 0.0000 Pt
0.0000 0.5000 0.5000 Pt
0.5000 0.5000 0.0000 Zr

ii.
BaZrPt2 GGA-PBE relaxed; spin magnetization = 0.0 μB per formula unit; space group = Pmmm; ρ = 10.9 Mg/m³; volume = 94 Å³/cell
1.0
-0.2799 2.6970 -2.1486
-1.2368 -2.1220 -2.5025
-8.4750 -0.8702 0.0117
Ba Pt Zr
1 2 1
Direct
0.5000 0.7500 0.7500 Ba
0.0000 0.9346 0.0650 Pt
0.0000 0.5654 0.4350 Pt
0.5000 0.2500 0.2500 Zr

Most stable of them? ii.

i.
BaZrPt2 GGA-PBE relaxed; spin magnetization = 0.0 μB per formula unit; space group = P4mm; ρ = 10.0 Mg/m³; volume = 103 Å³/cell
1.0
-3.3632 0.3724 -1.4467
-1.4835 -1.2516 3.1266
-0.3627 7.1038 2.6717
Ba Pt Zr
1 2 1
Direct
0.5000 0.5000 0.7970 Ba
0.0000 0.0000 0.0511 Pt
0.5000 0.5000 0.2647 Pt
0.0000 0.0000 0.3871 Zr

ii.
BaZrPt2 GGA-PBE relaxed; spin magnetization = 0.0 μB per formula unit; space group = I-4m2; ρ = 11.5 Mg/m³; volume = 89 Å³/cell
1.0
-1.2388 -0.3738 -5.6371
4.4495 -0.3256 -3.6807
-1.6519 -2.6505 4.8681
Ba Pt Zr
1 2 1
Direct
0.7500 0.2500 0.5000 Ba
0.0000 0.0000 0.0000 Pt
0.2500 0.7500 0.5000 Pt
0.5000 0.5000 0.0000 Zr

iii.
BaZrPt2 GGA-PBE relaxed; spin magnetization = 0.0 μB per formula unit; space group = I-42d; ρ = 9.0 Mg/m³; volume = 227 Å³/cell
1.0
-0.5571 7.4750 1.9976
-7.7033 -0.7237 0.5596
-3.7770 2.4296 4.9174
Zr Ba Pt
2 2 4
Direct
0.5000 0.5000 0.0000 Zr
0.2500 0.7500 0.5000 Zr
0.0000 0.0000 0.0000 Ba
0.7500 0.2500 0.5000 Ba
0.5602 0.1250 0.2500 Pt
0.1898 0.6250 0.2500 Pt
0.3750 0.4398 0.7500 Pt
0.8750 0.8102 0.7500 Pt

Most stable of them? i.

i.
BaZrPt2 GGA-PBE relaxed; spin magnetization = 0.0 μB per formula unit; space group = Imm2; ρ = 11.0 Mg/m³; volume = 93 Å³/cell
1.0
-5.6571 -2.7720 0.2543
-2.6335 -2.8044 -4.9952
4.7554 0.3928 4.1212
Ba Pt Zr
1 2 1
Direct
0.7531 0.2531 0.5000 Ba
0.0289 0.0289 0.0000 Pt
0.2573 0.7573 0.5000 Pt
0.4607 0.4607 0.0000 Zr

ii.
BaZrPt2 GGA-PBE relaxed; spin magnetization = 0.0 μB per formula unit; space group = R-3m; ρ = 9.5 Mg/m³; volume = 108 Å³/cell
1.0
4.5941 -0.0067 -0.0037
2.3029 3.9752 -0.0037
2.3015 1.3243 5.9038
Ba Pt Zr
1 2 1
Direct
0.2500 0.2500 0.2500 Ba
0.0446 0.0446 0.8663 Pt
0.4554 0.4554 0.6337 Pt
0.7500 0.7500 0.7500 Zr

iii.
BaZrPt2 GGA-PBE relaxed; spin magnetization = 0.0 μB per formula unit; space group = Fm-3m; ρ = 11.2 Mg/m³; volume = 92 Å³/cell
1.0
0.0000 3.5823 3.5823
3.5823 0.0000 3.5823
3.5823 3.5823 0.0000
Zr Ba Pt
1 1 2
Direct
0.0000 0.0000 0.0000 Zr
0.5000 0.5000 0.5000 Ba
0.2500 0.2500 0.2500 Pt
0.7500 0.7500 0.7500 Pt

Most stable of them? ii.

i.
BaPuS2 GGA-PBE relaxed; spin magnetization = 5.9 μB per formula unit; space group = Pmmn; ρ = 6.5 Mg/m³; volume = 226 Å³/cell
1.0
-0.3622 -3.9594 -0.8194
5.1607 -0.7380 1.2847
-2.7119 -1.7931 9.8635
Ba Pu S
2 2 4
Direct
0.5000 0.0000 0.1323 Ba
0.0000 0.5000 0.8677 Ba
0.5000 0.5000 0.3918 Pu
0.0000 0.0000 0.6082 Pu
0.0000 0.5000 0.1780 S
0.5000 0.0000 0.4288 S
0.0000 0.5000 0.5712 S
0.5000 0.0000 0.8220 S

ii.
BaPuS2 GGA-PBE relaxed; spin magnetization = 5.8 μB per formula unit; space group = R-3m; ρ = 6.8 Mg/m³; volume = 108 Å³/cell
1.0
4.1941 0.0000 0.0000
2.0971 3.6322 0.0000
2.0971 1.2107 7.1198
S Ba Pu
2 1 1
Direct
0.2627 0.2627 0.2120 S
0.7373 0.7373 0.7880 S
0.5000 0.5000 0.5000 Ba
0.0000 0.0000 0.0000 Pu

Most stable of them? ii.

i.
BaPuSi2 GGA-PBE relaxed; spin magnetization = 5.3 μB per formula unit; space group = Cmcm; ρ = 6.5 Mg/m³; volume = 224 Å³/cell
1.0
4.5009 0.0000 0.0000
-2.2504 7.2141 0.0000
0.0000 0.0000 6.8870
Ba Pu Si
2 2 4
Direct
0.9549 0.9098 0.2500 Ba
0.0451 0.0902 0.7500 Ba
0.2373 0.4745 0.2500 Pu
0.7627 0.5255 0.7500 Pu
0.3675 0.7349 0.9193 Si
0.6325 0.2651 0.0807 Si
0.6325 0.2651 0.4193 Si
0.3675 0.7349 0.5807 Si

ii.
BaPuSi2 GGA-PBE relaxed; spin magnetization = 5.7 μB per formula unit; space group = R-3m; ρ = 6.2 Mg/m³; volume = 116 Å³/cell
1.0
4.7084 0.0000 0.0000
2.3542 4.0776 0.0000
2.3542 1.3592 6.0634
Si Ba Pu
2 1 1
Direct
0.2891 0.2891 0.1326 Si
0.7109 0.7109 0.8674 Si
0.5000 0.5000 0.5000 Ba
0.0000 0.0000 0.0000 Pu

Most stable of them? i.